Version w
LaSm2Tm6, optimized geometry, DFT PBE; total magnetization = 0.00 μB per formula unit; space-group type = No. 147
1.0
-1.623 2.598 -1.728
-8.569 -4.135 1.831
3.696 6.445 6.219
Tm La Sm
6 1 2
Cartesian
-3.058 2.666 1.379
-7.231 2.119 4.477
-6.894 -0.621 0.040
0.735 2.789 1.844
0.398 5.529 6.281
-3.438 2.243 4.942
-0.811 1.299 -0.864
-1.588 4.833 3.482
-4.907 0.075 2.839


Version x
LaSm2Tm6, optimized geometry, DFT PBE; total magnetization = 0.00 μB per formula unit; space-group type = No. 15
1.0
-2.805 -5.784 1.311
7.740 -4.667 2.917
-3.164 1.941 8.742
Tm Sm La
12 4 2
Cartesian
2.743 -3.411 2.165
-3.082 -3.623 5.182
-1.006 -3.116 7.970
2.777 -5.394 5.000
-0.827 -0.838 2.308
-2.710 -5.810 7.837
2.597 -7.672 10.662
-0.973 -5.099 10.805
4.852 -4.887 7.787
4.481 -2.700 5.133
2.122 -3.642 11.010
-0.351 -4.868 1.960
1.470 -5.568 8.141
0.301 -2.942 4.829
2.273 -2.313 7.806
-0.502 -6.197 5.164
-2.533 -0.312 8.358
4.304 -8.198 4.612


Going by the computed energies, the most stable comes first: version w, version x.


Version w
LaSm3Tm, optimized geometry, DFT PBE; total magnetization = 0.00 μB per formula unit; space-group type = No. 148
1.0
-2.850 5.475 -0.207
-2.222 2.523 5.181
8.171 7.864 3.356
Sm La Tm
6 2 2
Cartesian
-0.633 5.683 5.522
3.218 10.014 6.294
3.732 10.179 2.808
4.888 7.389 4.631
-1.789 8.472 3.699
-0.119 5.848 2.036
-3.362 5.342 3.319
6.461 10.520 5.011
3.258 5.274 2.510
-0.159 10.587 5.820


Version x
LaSm3Tm, optimized geometry, DFT PBE; total magnetization = 0.00 μB per formula unit; space-group type = No. 2
1.0
-4.349 -1.262 4.460
-2.355 -4.738 -8.189
6.748 -0.293 6.515
Sm La Tm
6 2 2
Cartesian
2.433 -2.985 2.282
-0.628 -4.739 3.342
-2.390 -3.308 0.504
1.202 -2.590 5.719
0.671 -1.555 -0.556
-1.159 -3.703 -2.933
-0.569 -1.151 2.932
0.612 -5.142 -0.146
4.211 -0.870 4.641
-4.168 -5.423 -1.855


Going by the computed energies, the most stable comes first: version x, version w.